Entry 1:
A geometry-optimized Sm3Er6Tl structure, computed with PBE.

```
data_Sm3Er6Tl
_chemical_formula_sum 'Sm6 Er12 Tl2'
_cell_length_a 12.8674
_cell_length_b 3.5498
_cell_length_c 14.4026
_cell_angle_alpha 90.00
_cell_angle_beta 108.46
_cell_angle_gamma 90.00
_symmetry_space_group_name_H-M 'P 1 21/m 1'
_symmetry_Int_Tables_number 11
_symmetry_space_group_name_Hall '-P 2yb'
loop_
_atom_site_label
_atom_site_type_symbol
_atom_site_fract_x
_atom_site_fract_y
_atom_site_fract_z
_atom_site_occupancy
Sm1 Sm 0.0096 0.2500 0.3963 1
Sm2 Sm 0.3768 0.2500 0.9990 1
Sm3 Sm 0.4669 0.2500 0.5925 1
Er1 Er 0.1384 0.7500 0.0227 1
Er2 Er 0.1449 0.2500 0.8099 1
Er3 Er 0.2174 0.2500 0.5997 1
Er4 Er 0.2530 0.7500 0.3957 1
Er5 Er 0.3325 0.2500 0.2181 1
Er6 Er 0.3831 0.7500 0.7893 1
Tl1 Tl 0.0764 0.2500 0.1933 1
```

Output
Formation energy ... -0.01 eV/atom
DFT total energy ... -4.396 eV per atom
Polymorph energy (0 for the lowest one) ... 0 meV per atom
Total magnetic moment ... 0.00 μB/cell

Entry 2:
A geometry-optimized SmEr2Tl structure, computed with PBE.

```
data_SmEr2Tl
_chemical_formula_sum 'Sm1 Er2 Tl1'
_cell_length_a 3.6252
_cell_length_b 3.6252
_cell_length_c 9.0608
_cell_angle_alpha 90.00
_cell_angle_beta 90.00
_cell_angle_gamma 90.00
_symmetry_space_group_name_H-M 'P 4/m m m'
_symmetry_Int_Tables_number 123
_symmetry_space_group_name_Hall '-P 4 2'
loop_
_atom_site_label
_atom_site_type_symbol
_atom_site_fract_x
_atom_site_fract_y
_atom_site_fract_z
_atom_site_occupancy
Sm1 Sm 0.0000 0.0000 0.0000 1
Er1 Er 0.5000 0.5000 0.2742 1
Tl1 Tl 0.0000 0.0000 0.5000 1
```

Output
Formation energy ... -0.17 eV/atom
DFT total energy ... -4.223 eV per atom
Polymorph energy (0 for the lowest one) ... 6 meV per atom
Total magnetic moment ... 0.00 μB/cell

Entry 3:
A geometry-optimized Sm2Er2Tl3 structure, computed with PBE.

```
data_Sm2Er2Tl3
_chemical_formula_sum 'Sm2 Er2 Tl3'
_cell_length_a 3.7878
_cell_length_b 6.5490
_cell_length_c 8.5426
_cell_angle_alpha 84.29
_cell_angle_beta 89.97
_cell_angle_gamma 73.23
_symmetry_space_group_name_H-M 'P -1'
_symmetry_Int_Tables_number 2
_symmetry_space_group_name_Hall '-P 1'
loop_
_atom_site_label
_atom_site_type_symbol
_atom_site_fract_x
_atom_site_fract_y
_atom_site_fract_z
_atom_site_occupancy
Sm1 Sm 0.2047 0.0920 0.1570 1
Er1 Er 0.0653 0.3695 0.7180 1
Tl1 Tl 0.3535 0.7923 0.5439 1
Tl2 Tl 0.5000 0.5000 0.0000 1
```

Output
Formation energy ... -0.24 eV/atom
DFT total energy ... -3.904 eV per atom
Polymorph energy (0 for the lowest one) ... 0 meV per atom
Total magnetic moment ... 0.24 μB/cell

Entry 4:
A geometry-optimized SmEr6Tl4 structure, computed with PBE.

```
data_SmEr6Tl4
_chemical_formula_sum 'Sm1 Er6 Tl4'
_cell_length_a 10.0030
_cell_length_b 10.0030
_cell_length_c 3.7372
_cell_angle_alpha 90.00
_cell_angle_beta 90.00
_cell_angle_gamma 120.00
_symmetry_space_group_name_H-M 'P -6 m 2'
_symmetry_Int_Tables_number 187
_symmetry_space_group_name_Hall 'P -6 2'
loop_
_atom_site_label
_atom_site_type_symbol
_atom_site_fract_x
_atom_site_fract_y
_atom_site_fract_z
_atom_site_occupancy
Sm1 Sm 0.0000 0.0000 0.0000 1
Er1 Er 0.0781 0.5390 0.0000 1
Er2 Er 0.3828 0.1914 0.5000 1
Tl1 Tl 0.1630 0.3259 0.5000 1
Tl2 Tl 0.6667 0.3333 0.0000 1
```

Output
Formation energy ... -0.22 eV/atom
DFT total energy ... -4.001 eV per atom
Total magnetic moment ... 2.50 μB/cell

Entry 5:
A geometry-optimized Sm12Er2Tl structure, computed with PBE.

```
data_Sm12Er2Tl
_chemical_formula_sum 'Sm48 Er8 Tl4'
_cell_length_a 7.2399
_cell_length_b 11.4526
_cell_length_c 24.3773
_cell_angle_alpha 90.00
_cell_angle_beta 90.00
_cell_angle_gamma 90.00
_symmetry_space_group_name_H-M 'C m m e'
_symmetry_Int_Tables_number 67
_symmetry_space_group_name_Hall '-C 2a 2'
loop_
_atom_site_label
_atom_site_type_symbol
_atom_site_fract_x
_atom_site_fract_y
_atom_site_fract_z
_atom_site_occupancy
Sm1 Sm 0.0000 0.0007 0.0721 1
Sm2 Sm 0.0000 0.0244 0.5611 1
Sm3 Sm 0.2311 0.2500 0.4112 1
Sm4 Sm 0.2489 0.2500 0.8772 1
Sm5 Sm 0.2500 0.0000 0.1952 1
Sm6 Sm 0.2500 0.0000 0.3228 1
Er1 Er 0.0000 0.2500 0.2608 1
Er2 Er 0.0000 0.2500 0.7355 1
Tl1 Tl 0.0000 0.2500 0.9998 1
```

Output
Formation energy ... 0.11 eV/atom
DFT total energy ... -4.434 eV per atom
Total magnetic moment ... 0.00 μB/cell

Entry 6:
A geometry-optimized Sm2ErTl structure, computed with PBE.

```
data_Sm2ErTl
_chemical_formula_sum 'Sm6 Er3 Tl3'
_cell_length_a 3.5652
_cell_length_b 3.5652
_cell_length_c 36.5942
_cell_angle_alpha 90.00
_cell_angle_beta 90.00
_cell_angle_gamma 120.00
_symmetry_space_group_name_H-M 'R -3 m'
_symmetry_Int_Tables_number 166
_symmetry_space_group_name_Hall '-R 3 2"'
loop_
_atom_site_label
_atom_site_type_symbol
_atom_site_fract_x
_atom_site_fract_y
_atom_site_fract_z
_atom_site_occupancy
Sm1 Sm 0.0000 0.0000 0.0892 1
Er1 Er 0.0000 0.0000 0.5000 1
Tl1 Tl 0.0000 0.0000 0.0000 1
```

Output
Formation energy ... 0.08 eV/atom
DFT total energy ... -4.014 eV per atom
Polymorph energy (0 for the lowest one) ... 229 meV per atom
Total magnetic moment ... 0.00 μB/cell

Entry 7:
A geometry-optimized Sm3Er4Tl4 structure, computed with PBE.

```
data_Sm3Er4Tl4
_chemical_formula_sum 'Sm6 Er8 Tl8'
_cell_length_a 3.7890
_cell_length_b 9.7220
_cell_length_c 18.0565
_cell_angle_alpha 90.00
_cell_angle_beta 90.00
_cell_angle_gamma 90.00
_symmetry_space_group_name_H-M 'I m m m'
_symmetry_Int_Tables_number 71
_symmetry_space_group_name_Hall '-I 2 2'
loop_
_atom_site_label
_atom_site_type_symbol
_atom_site_fract_x
_atom_site_fract_y
_atom_site_fract_z
_atom_site_occupancy
Sm1 Sm 0.0000 0.0000 0.0000 1
Sm2 Sm 0.0000 0.5000 0.1020 1
Er1 Er 0.0000 0.2991 0.3328 1
Tl1 Tl 0.0000 0.0000 0.2540 1
Tl2 Tl 0.0000 0.2209 0.5000 1
```

Output
Formation energy ... -0.23 eV/atom
DFT total energy ... -4.035 eV per atom
Total magnetic moment ... 3.33 μB/cell

Entry 8:
A geometry-optimized SmEr4Tl structure, computed with PBE.

```
data_SmEr4Tl
_chemical_formula_sum 'Sm1 Er4 Tl1'
_cell_length_a 3.5744
_cell_length_b 3.5744
_cell_length_c 14.1337
_cell_angle_alpha 90.00
_cell_angle_beta 90.00
_cell_angle_gamma 90.00
_symmetry_space_group_name_H-M 'P 4/m m m'
_symmetry_Int_Tables_number 123
_symmetry_space_group_name_Hall '-P 4 2'
loop_
_atom_site_label
_atom_site_type_symbol
_atom_site_fract_x
_atom_site_fract_y
_atom_site_fract_z
_atom_site_occupancy
Sm1 Sm 0.0000 0.0000 0.0000 1
Er1 Er 0.0000 0.0000 0.3510 1
Er2 Er 0.5000 0.5000 0.1782 1
Tl1 Tl 0.5000 0.5000 0.5000 1
```

Output
Formation energy ... -0.10 eV/atom
DFT total energy ... -4.326 eV per atom
Polymorph energy (0 for the lowest one) ... 0 meV per atom
Total magnetic moment ... 0.00 μB/cell

Entry 9:
A geometry-optimized SmEr4Tl4 structure, computed with PBE.

```
data_SmEr4Tl4
_chemical_formula_sum 'Sm2 Er8 Tl8'
_cell_length_a 7.3283
_cell_length_b 7.3283
_cell_length_c 10.3705
_cell_angle_alpha 90.00
_cell_angle_beta 90.00
_cell_angle_gamma 90.00
_symmetry_space_group_name_H-M 'P 42/n m c'
_symmetry_Int_Tables_number 137
loop_
_symmetry_equiv_pos_as_xyz
'x,y,z'
'-x,-y,-z'
'-y+1/2,x,z+1/2'
'y+1/2,-x,-z+1/2'
'-x+1/2,-y+1/2,z'
'x+1/2,y+1/2,-z'
'y,-x+1/2,z+1/2'
'-y,x+1/2,-z+1/2'
'x+1/2,-y,-z'
'-x+1/2,y,z'
'-y,-x,-z+1/2'
'y,x,z+1/2'
'-x,y+1/2,-z'
'x,-y+1/2,z'
'y+1/2,x+1/2,-z+1/2'
'-y+1/2,-x+1/2,z+1/2'
loop_
_atom_site_label
_atom_site_type_symbol
_atom_site_fract_x
_atom_site_fract_y
_atom_site_fract_z
_atom_site_occupancy
Sm1 Sm 0.2500 0.7500 0.2500 1
Er1 Er 0.0191 0.2500 0.1616 1
Tl1 Tl 0.0284 0.2500 0.4632 1
```

Output
Formation energy ... -0.08 eV/atom
DFT total energy ... -3.682 eV per atom
Total magnetic moment ... 0.00 μB/cell

Entry 10:
A geometry-optimized Sm2Er3Tl4 structure, computed with PBE.

```
data_Sm2Er3Tl4
_chemical_formula_sum 'Sm8 Er12 Tl16'
_cell_length_a 7.1303
_cell_length_b 16.4508
_cell_length_c 9.1115
_cell_angle_alpha 90.00
_cell_angle_beta 90.00
_cell_angle_gamma 90.00
_symmetry_space_group_name_H-M 'C m c e'
_symmetry_Int_Tables_number 64
_symmetry_space_group_name_Hall '-C 2ac 2'
loop_
_atom_site_label
_atom_site_type_symbol
_atom_site_fract_x
_atom_site_fract_y
_atom_site_fract_z
_atom_site_occupancy
Sm1 Sm 0.0000 0.1101 0.0768 1
Er1 Er 0.0000 0.0000 0.5000 1
Er2 Er 0.2500 0.2138 0.7500 1
Tl1 Tl 0.0000 0.1864 0.4577 1
Tl2 Tl 0.2500 0.0294 0.7500 1
```

Output
Formation energy ... -0.22 eV/atom
DFT total energy ... -3.846 eV per atom
Total magnetic moment ... 0.00 μB/cell

Entry 11:
A geometry-optimized Sm8ErTl2 structure, computed with PBE.

```
data_Sm8ErTl2
_chemical_formula_sum 'Sm16 Er2 Tl4'
_cell_length_a 17.4617
_cell_length_b 5.1653
_cell_length_c 8.3144
_cell_angle_alpha 90.00
_cell_angle_beta 111.13
_cell_angle_gamma 90.00
_symmetry_space_group_name_H-M 'C 1 2/m 1'
_symmetry_Int_Tables_number 12
_symmetry_space_group_name_Hall '-C 2y'
loop_
_atom_site_label
_atom_site_type_symbol
_atom_site_fract_x
_atom_site_fract_y
_atom_site_fract_z
_atom_site_occupancy
Sm1 Sm 0.0519 0.0000 0.2379 1
Sm2 Sm 0.0993 0.5000 0.9633 1
Sm3 Sm 0.1446 0.0000 0.7036 1
Sm4 Sm 0.1854 0.5000 0.4463 1
Er1 Er 0.0000 0.5000 0.5000 1
Tl1 Tl 0.2228 0.0000 0.1410 1
```

Output
Formation energy ... -0.10 eV/atom
DFT total energy ... -4.379 eV per atom
Polymorph energy (0 for the lowest one) ... 0 meV per atom
Total magnetic moment ... 0.00 μB/cell

Entry 12:
A geometry-optimized Sm9Er2Tl structure, computed with PBE.

```
data_Sm9Er2Tl
_chemical_formula_sum 'Sm9 Er2 Tl1'
_cell_length_a 5.0104
_cell_length_b 5.0104
_cell_length_c 15.3465
_cell_angle_alpha 90.00
_cell_angle_beta 90.00
_cell_angle_gamma 90.00
_symmetry_space_group_name_H-M 'P 4/m m m'
_symmetry_Int_Tables_number 123
_symmetry_space_group_name_Hall '-P 4 2'
loop_
_atom_site_label
_atom_site_type_symbol
_atom_site_fract_x
_atom_site_fract_y
_atom_site_fract_z
_atom_site_occupancy
Sm1 Sm 0.0000 0.0000 0.0000 1
Sm2 Sm 0.0000 0.0000 0.3304 1
Sm3 Sm 0.0000 0.5000 0.1630 1
Sm4 Sm 0.0000 0.5000 0.5000 1
Er1 Er 0.5000 0.5000 0.3322 1
Tl1 Tl 0.5000 0.5000 0.0000 1
```

Output
Formation energy ... -0.04 eV/atom
DFT total energy ... -4.542 eV per atom
Total magnetic moment ... 0.00 μB/cell